# BaSrSmFeO6

Crystalline BaSrSmFeO6 at its relaxed geometry (PBE with a Hubbard U, Alexandria via LeMat-Bulk).

abc: 8.325 8.325 8.325
angles: 90.00 90.00 90.00
Space group F-43m (No. 216)
Unique sites:
Ba  0.000  0.000  0.000 [4 per cell]
Sr  0.000  0.000  0.500 [4 per cell]
Sm  0.250  0.250  0.750 [4 per cell]
Fe  0.250  0.250  0.250 [4 per cell]
O  0.021  0.250  0.250 [24 per cell]

* Fermi-level density of states: 7.74 states/eV per cell
* spin magnetization: 12.18 μB/cell
* E_tot: -6.64 eV per atom